VASP calculation (PBE+U) on crystalline Mg14MnCrO16 at its relaxed geometry.

Cell and atoms, written as POSCAR:
```
Mg14MnCrO16
1.0
4.278 0.000 0.000
0.000 8.528 0.000
0.000 0.000 8.662
Mg O Mn Cr
14 16 1 1
Direct
0.000 0.000 0.500 Mg
0.500 0.500 0.254 Mg
0.000 0.252 0.747 Mg
0.500 0.251 0.000 Mg
0.500 0.749 0.000 Mg
0.500 0.500 0.746 Mg
0.500 0.250 0.500 Mg
0.000 0.748 0.747 Mg
0.000 0.500 0.500 Mg
0.500 0.000 0.747 Mg
0.500 0.000 0.253 Mg
0.000 0.252 0.253 Mg
0.500 0.750 0.500 Mg
0.000 0.748 0.253 Mg
0.500 0.000 0.000 O
0.500 0.500 0.000 O
0.000 0.744 0.000 O
0.000 0.000 0.256 O
0.000 0.248 0.500 O
0.500 0.750 0.249 O
0.500 0.250 0.751 O
0.500 0.250 0.249 O
0.500 0.750 0.751 O
0.500 0.000 0.500 O
0.000 0.256 0.000 O
0.000 0.500 0.264 O
0.000 0.000 0.744 O
0.000 0.500 0.736 O
0.000 0.752 0.500 O
0.500 0.500 0.500 O
0.000 0.000 0.000 Mn
0.000 0.500 0.000 Cr
```

Summary:
**Energy above the lowest structure with this stoichiometry**: 0 meV per atom
**Total energy**: -6.1961 eV per atom
**Total moment**: 9.00 μB/cell